[1]
BeTcSn3 after structural relaxation, computed with GGA-PBEsol.

Structure (extended XYZ):
```
5
Lattice="4.750 0.000 0.000 0.000 4.750 0.000 0.000 0.000 4.750" Properties=species:S:1:pos:R:3 pbc="T T T"
Be 0.000 0.000 0.000
Tc 2.375 2.375 2.375
Sn 0.000 0.000 2.375
Sn 0.000 2.375 0.000
Sn 2.375 0.000 0.000
```

Values from the calculation:
The value obtained for the theoretical density is 7.17 g/cm³. The space group is No. 221. As for the total energy: -22.97 eV per cell. For the energy relative to the elements, the calculation gives 1.015 eV per atom.

***

[2]
Rb2Te after structural relaxation, computed with GGA-PBEsol.

Structure (extended XYZ):
```
12
Lattice="8.421 0.000 0.000 0.000 8.421 0.000 0.000 0.000 8.421" Properties=species:S:1:pos:R:3 pbc="T T T"
Rb 2.105 2.105 2.105
Rb 2.105 2.105 6.315
Rb 2.105 6.315 2.105
Rb 2.105 6.315 6.315
Rb 6.315 2.105 2.105
Rb 6.315 2.105 6.315
Rb 6.315 6.315 2.105
Rb 6.315 6.315 6.315
Te 0.000 0.000 0.000
Te 0.000 4.210 4.210
Te 4.210 0.000 4.210
Te 4.210 4.210 0.000
```

Values from the calculation:
The value obtained for the theoretical density is 3.32 g/cm³. The space group is No. 225. As for the total energy: -34.04 eV per cell.

***

[3]
La5Hg after structural relaxation, computed with GGA-PBEsol.

Structure (extended XYZ):
```
12
Lattice="5.790 0.000 0.000 0.000 3.659 0.000 0.000 0.000 17.719" Properties=species:S:1:pos:R:3 pbc="T T T"
La 0.000 0.000 0.000
La 0.000 0.000 5.477
La 0.000 1.830 8.860
La 0.000 1.830 14.336
La 2.895 0.000 3.136
La 2.895 0.000 9.231
La 2.895 0.000 14.993
La 2.895 1.830 0.372
La 2.895 1.830 6.134
La 2.895 1.830 11.996
Hg 0.000 0.000 11.562
Hg 0.000 1.830 2.702
```

Values from the calculation:
The value obtained for the theoretical density is 7.92 g/cm³. The space group is No. 38. As for the total energy: -56.30 eV per cell. For the energy relative to the elements, the calculation gives -0.142 eV per atom.

***

[4]
GaI3Cl after structural relaxation, computed with GGA-PBEsol.

Structure (extended XYZ):
```
5
Lattice="5.649 0.000 0.000 0.000 5.649 0.000 0.000 0.000 5.649" Properties=species:S:1:pos:R:3 pbc="T T T"
Ga 0.000 0.000 0.000
I 0.000 2.824 2.824
I 2.824 0.000 2.824
I 2.824 2.824 0.000
Cl 2.824 2.824 2.824
```

Values from the calculation:
The value obtained for the theoretical density is 4.48 g/cm³. The space group is No. 221. As for the total energy: -9.62 eV per cell.

***

[5]
La2Sb after structural relaxation, computed with GGA-PBEsol.

Structure (extended XYZ):
```
12
Lattice="4.563 0.000 0.000 0.000 4.563 0.000 0.000 0.000 18.021" Properties=species:S:1:pos:R:3 pbc="T T T"
La 0.000 0.000 3.236
La 0.000 0.000 14.785
La 0.000 2.281 0.000
La 0.000 2.281 9.010
La 2.281 0.000 0.000
La 2.281 0.000 9.010
La 2.281 2.281 5.774
La 2.281 2.281 12.246
Sb 0.000 0.000 6.534
Sb 0.000 0.000 11.487
Sb 2.281 2.281 2.477
Sb 2.281 2.281 15.544
```

Values from the calculation:
The value obtained for the theoretical density is 7.07 g/cm³. The space group is No. 139. As for the total energy: -72.14 eV per cell.

***

[6]
Li3HgIr after structural relaxation, computed with GGA-PBEsol.

Structure (extended XYZ):
```
5
Lattice="4.529 0.000 0.000 0.000 4.529 0.000 0.000 0.000 4.529" Properties=species:S:1:pos:R:3 pbc="T T T"
Li 0.000 0.000 2.265
Li 0.000 2.265 0.000
Li 2.265 0.000 0.000
Hg 0.000 0.000 0.000
Ir 2.265 2.265 2.265
```

Values from the calculation:
The value obtained for the theoretical density is 7.39 g/cm³. The space group is No. 221. As for the total energy: -12.32 eV per cell. For the energy relative to the elements, the calculation gives 0.794 eV per atom.